Density functional theory data (GGA-PBE) for crystalline InGa2P at its relaxed geometry. Values from VASP.

Structure (Quantum ESPRESSO input):
```
&SYSTEM
  ibrav = 0, nat = 8, ntyp = 3
/
ATOMIC_SPECIES
In 114.82 In.upf
Ga 69.72 Ga.upf
P 30.97 P.upf
CELL_PARAMETERS angstrom
-3.092 3.092 5.301
3.092 -3.092 5.301
3.092 3.092 -5.301
ATOMIC_POSITIONS crystal
In 0.000 0.000 0.000
In 0.750 0.250 0.500
Ga 0.171 0.625 0.046
Ga 0.375 0.421 0.546
Ga 0.579 0.125 0.954
Ga 0.875 0.829 0.454
P 0.250 0.750 0.500
P 0.500 0.500 0.000
```

Results
The density of states at the Fermi level is 0.6 states/eV per cell. As for the energy of formation: 0.0251 eV/atom. The relative energy among the computed polymorphs comes out at 0 meV per atom. The total energy is -14.10 eV/f.u.



Density functional theory data (GGA-PBE) for crystalline InGa2P2 at its relaxed geometry. Values from VASP.

Structure (Quantum ESPRESSO input):
```
&SYSTEM
  ibrav = 0, nat = 5, ntyp = 3
/
ATOMIC_SPECIES
In 114.82 In.upf
Ga 69.72 Ga.upf
P 30.97 P.upf
CELL_PARAMETERS angstrom
-2.058 2.058 6.614
2.058 -2.058 6.614
2.058 2.058 -6.614
ATOMIC_POSITIONS crystal
In 0.000 0.000 0.000
Ga 0.250 0.750 0.500
Ga 0.750 0.250 0.500
P 0.358 0.358 0.000
P 0.642 0.642 0.000
```

Results
The density of states at the Fermi level is 1.2 states/eV per cell. As for the energy of formation: 0.0325 eV/atom. The relative energy among the computed polymorphs comes out at 0 meV per atom. The total energy is -19.45 eV/f.u.



Density functional theory data (GGA-PBE) for crystalline In3GaP4 at its relaxed geometry. Values from VASP.

Structure (Quantum ESPRESSO input):
```
&SYSTEM
  ibrav = 0, nat = 8, ntyp = 3
/
ATOMIC_SPECIES
In 114.82 In.upf
Ga 69.72 Ga.upf
P 30.97 P.upf
CELL_PARAMETERS angstrom
5.840 0.000 0.000
0.000 5.840 0.000
0.000 0.000 5.840
ATOMIC_POSITIONS crystal
In 0.000 0.000 0.500
In 0.000 0.500 0.000
In 0.500 0.000 0.000
Ga 0.500 0.500 0.500
P 0.261 0.261 0.739
P 0.261 0.739 0.261
P 0.739 0.261 0.261
P 0.739 0.739 0.739
```

Results
As for the energy of formation: -0.2473 eV/atom. The total energy is -34.86 eV/f.u.



Density functional theory data (GGA-PBE) for crystalline InGa2P at its relaxed geometry. Values from VASP.

Structure (Quantum ESPRESSO input):
```
&SYSTEM
  ibrav = 0, nat = 4, ntyp = 3
/
ATOMIC_SPECIES
In 114.82 In.upf
Ga 69.72 Ga.upf
P 30.97 P.upf
CELL_PARAMETERS angstrom
0.000 3.429 3.429
3.429 0.000 3.429
3.429 3.429 0.000
ATOMIC_POSITIONS crystal
In 0.000 0.000 0.000
Ga 0.250 0.250 0.250
Ga 0.750 0.750 0.750
P 0.500 0.500 0.500
```

Results
The density of states at the Fermi level is 1.8 states/eV per cell. As for the energy of formation: 0.2390 eV/atom. The relative energy among the computed polymorphs comes out at 214 meV per atom. The total energy is -13.25 eV/f.u.



Density functional theory data (GGA-PBE) for crystalline InGaPPb2 at its relaxed geometry. Values from VASP.

Structure (Quantum ESPRESSO input):
```
&SYSTEM
  ibrav = 0, nat = 5, ntyp = 4
/
ATOMIC_SPECIES
In 114.82 In.upf
Ga 69.72 Ga.upf
P 30.97 P.upf
Pb 207.20 Pb.upf
CELL_PARAMETERS angstrom
5.879 0.000 0.000
0.000 5.879 0.000
0.000 0.000 4.949
ATOMIC_POSITIONS crystal
In 0.000 0.000 0.000
Ga 0.500 0.500 0.500
P 0.000 0.000 0.500
Pb 0.000 0.500 0.000
Pb 0.500 0.000 0.000
```

Results
The density of states at the Fermi level is 3.3 states/eV per cell. As for the energy of formation: 0.6952 eV/atom. The total energy is -15.12 eV/f.u.



Density functional theory data (GGA-PBE) for crystalline InGaP2Rh at its relaxed geometry. Values from VASP.

Structure (Quantum ESPRESSO input):
```
&SYSTEM
  ibrav = 0, nat = 5, ntyp = 4
/
ATOMIC_SPECIES
In 114.82 In.upf
Ga 69.72 Ga.upf
P 30.97 P.upf
Rh 102.91 Rh.upf
CELL_PARAMETERS angstrom
4.974 0.000 0.000
0.000 4.974 0.000
0.000 0.000 4.987
ATOMIC_POSITIONS crystal
In 0.000 0.000 0.000
Ga 0.000 0.000 0.500
P 0.000 0.500 0.000
P 0.500 0.000 0.000
Rh 0.500 0.500 0.500
```

Results
The density of states at the Fermi level is 5.1 states/eV per cell. As for the energy of formation: 1.3989 eV/atom. The total energy is -16.94 eV/f.u.



Density functional theory data (GGA-PBE) for crystalline Pa3InGa5 at its relaxed geometry. Values from VASP.

Structure (Quantum ESPRESSO input):
```
&SYSTEM
  ibrav = 0, nat = 18, ntyp = 3
/
ATOMIC_SPECIES
Pa 231.04 Pa.upf
In 114.82 In.upf
Ga 69.72 Ga.upf
CELL_PARAMETERS angstrom
8.604 0.000 0.000
-4.302 7.451 0.000
0.000 0.000 6.069
ATOMIC_POSITIONS crystal
Pa 0.000 0.373 0.250
Pa 0.000 0.627 0.750
Pa 0.373 0.000 0.250
Pa 0.373 0.373 0.750
Pa 0.627 0.000 0.750
Pa 0.627 0.627 0.250
In 0.000 0.000 0.000
In 0.000 0.000 0.500
Ga 0.000 0.298 0.750
Ga 0.000 0.702 0.250
Ga 0.298 0.000 0.750
Ga 0.298 0.298 0.250
Ga 0.333 0.667 0.000
Ga 0.333 0.667 0.500
Ga 0.667 0.333 0.000
Ga 0.667 0.333 0.500
Ga 0.702 0.000 0.250
Ga 0.702 0.702 0.750
```

Results
The density of states at the Fermi level is 19.0 states/eV per cell. As for the energy of formation: -0.1849 eV/atom. The total energy is -48.02 eV/f.u.



Density functional theory data (GGA-PBE) for crystalline PaInGa2 at its relaxed geometry. Values from VASP.

Structure (Quantum ESPRESSO input):
```
&SYSTEM
  ibrav = 0, nat = 4, ntyp = 3
/
ATOMIC_SPECIES
Pa 231.04 Pa.upf
In 114.82 In.upf
Ga 69.72 Ga.upf
CELL_PARAMETERS angstrom
4.529 0.000 0.000
0.000 4.529 0.000
0.000 0.000 4.208
ATOMIC_POSITIONS crystal
Pa 0.000 0.000 0.000
In 0.500 0.500 0.000
Ga 0.000 0.500 0.500
Ga 0.500 0.000 0.500
```

Results
The density of states at the Fermi level is 5.1 states/eV per cell. As for the energy of formation: -0.2700 eV/atom. The relative energy among the computed polymorphs comes out at 0 meV per atom. The total energy is -19.37 eV/f.u.